(1)
SrReAs (PBEsol, relaxed); magnetic moment = 0.26 μB per formula unit; formation enthalpy at 0 K = 0.720 eV per atom
1.0
4.5421 0.0000 0.0000
2.2711 3.9336 0.0000
2.2711 1.3112 3.7086
Re As Sr
1 1 1
direct
0.0000 0.0000 0.0000
0.2500 0.2500 0.2500
0.5000 0.5000 0.5000

(2)
TaSb2As (PBEsol, relaxed); magnetic moment = 0.00 μB per formula unit; formation energy from raw total energies = 0.1051 eV per atom
1.0
3.5570 0.0000 0.0000
0.0000 4.8901 -0.0660
0.0000 -2.3589 5.9130
As Sb Ta
1 2 1
direct
0.5000 0.5000 0.5000
0.0000 0.1825 0.8645
0.0000 0.8175 0.1355
0.5000 0.0000 0.5000

(3)
Ba2SmCu4O8 (PBEsol, relaxed); magnetic moment = 0.00 μB per formula unit; formation energy from raw total energies = -1.6856 eV per atom
1.0
3.8595 0.0000 0.0000
0.0000 3.8622 0.0000
-1.9298 0.0000 13.4786
Cu O Ba Sm
4 8 2 1
direct
0.7874 0.0000 0.5748
0.0638 0.0000 0.1275
0.2126 0.0000 0.4252
0.9362 0.0000 0.8725
0.2820 0.0000 0.5640
0.8551 0.0000 0.7101
0.5544 0.0000 0.1087
0.9452 0.5000 0.8904
0.4456 0.0000 0.8913
0.0548 0.5000 0.1096
0.1449 0.0000 0.2899
0.7180 0.0000 0.4360
0.6364 0.5000 0.2729
0.3636 0.5000 0.7271
0.5000 0.5000 0.0000

(4)
HoRh3C (PBEsol, relaxed); magnetic moment = 0.00 μB per formula unit; formation enthalpy at 0 K = -0.561 eV per atom
1.0
-2.2947 3.3910 -0.3599
-3.3950 -2.3125 -0.1426
-0.3201 0.2177 4.0919
Ho Rh C
1 3 1
direct
0.0000 0.0000 0.0000
0.5000 0.0000 0.5000
0.5000 0.5000 0.0000
0.0000 0.5000 0.5000
0.5000 0.5000 0.5000

(5)
ScTeAs2Pb (PBEsol, relaxed); magnetic moment = 0.00 μB per formula unit; formation energy from raw total energies = 0.2596 eV per atom
1.0
-1.5442 -4.5583 -1.3296
1.3499 0.9190 -4.7185
5.2081 -2.0808 1.0847
Sc Pb As Te
1 1 2 1
direct
0.0000 0.0000 0.0000
0.0000 0.0000 0.5000
0.0000 0.5000 0.0000
0.5000 0.0000 0.0000
0.5000 0.5000 0.5000

(6)
Ta2CrAs (PBEsol, relaxed); magnetic moment = 0.00 μB per formula unit; formation enthalpy at 0 K = 0.159 eV per atom
1.0
3.1468 0.0000 0.0000
1.5734 2.7252 0.0000
1.5734 0.9084 7.5294
As Ta Cr
1 2 1
direct
0.5000 0.5000 0.5000
0.7476 0.7476 0.7572
0.2524 0.2524 0.2428
0.0000 0.0000 0.0000

(7)
Y2IrPb (PBEsol, relaxed); magnetic moment = 0.00 μB per formula unit; formation enthalpy at 0 K = -0.237 eV per atom
1.0
-0.0395 -3.8815 -3.0770
3.4071 -0.3592 -3.5775
3.5552 -3.4359 0.3017
Ir Pb Y
1 1 2
direct
0.5000 0.5000 0.5000
0.2500 0.2500 0.2500
0.7500 0.7500 0.7500
0.0000 0.0000 0.0000

(8)
Pd2SBr (PBEsol, relaxed); magnetic moment = 0.00 μB per formula unit; formation energy from raw total energies = 0.2012 eV per atom
1.0
4.4839 0.0000 0.0000
2.2419 3.8831 0.0000
2.2419 1.2944 3.6610
S Br Pd
1 1 2
direct
0.0000 0.0000 0.0000
0.5000 0.5000 0.5000
0.7500 0.7500 0.7500
0.2500 0.2500 0.2500

(9)
Tl2AgRu (PBEsol, relaxed); magnetic moment = 0.00 μB per formula unit; formation enthalpy at 0 K = 0.388 eV per atom; distance to the lowest polymorph of the same formula = 0.0000 eV per atom
1.0
3.0569 0.0000 0.0000
0.0000 4.4663 0.0000
-1.5285 -2.2331 5.9570
Tl Ru Ag
2 1 1
direct
0.9513 0.9513 0.9025
0.7363 0.2363 0.4726
0.2553 0.7553 0.5106
0.5571 0.5571 0.1142

(10)
CeHoZn2 (PBEsol, relaxed); magnetic moment = 0.52 μB per formula unit; formation enthalpy at 0 K = -0.217 eV per atom
1.0
-0.2600 4.8985 0.8547
-3.2298 1.7751 3.3482
1.6549 1.8667 4.3093
Zn Ce Ho
2 1 1
direct
0.7500 0.7500 0.7500
0.2500 0.2500 0.2500
0.5000 0.5000 0.5000
0.0000 0.0000 0.0000

(11)
NiHgAu (PBEsol, relaxed); magnetic moment = 0.00 μB per formula unit; formation enthalpy at 0 K = 0.093 eV per atom; distance to the lowest polymorph of the same formula = 0.0000 eV per atom
1.0
2.9575 0.0000 0.0000
0.0000 2.9575 0.0000
-1.4787 -1.4787 5.4022
Hg Ni Au
1 1 1
direct
0.6801 0.6801 0.3602
0.3362 0.3362 0.6724
0.9837 0.9837 0.9674

(12)
Mg2Ga (PBEsol, relaxed); magnetic moment = 0.00 μB per formula unit; formation enthalpy at 0 K = -0.061 eV per atom
1.0
3.1626 0.0000 0.0000
-1.5813 2.7389 0.0000
0.0000 0.0000 14.0211
Mg Ga
4 2
direct
0.3333 0.6667 0.1822
0.3333 0.6667 0.5000
0.3333 0.6667 0.8178
0.0000 0.0000 0.0000
0.0000 0.0000 0.3411
0.0000 0.0000 0.6589